VASP calculation (PBEsol) on BeHgGe3 after structural relaxation.

```
data_BeHgGe3
_chemical_formula_sum 'Be1 Hg1 Ge3'
_cell_length_a 4.528
_cell_length_b 4.528
_cell_length_c 4.528
_cell_angle_alpha 90.00
_cell_angle_beta 90.00
_cell_angle_gamma 90.00
_space_group_name_H-M_alt 'P 1'
_space_group_IT_number 1
loop_
_space_group_symop_operation_xyz
'x,y,z'
loop_
_atom_site_label
_atom_site_type_symbol
_atom_site_fract_x
_atom_site_fract_y
_atom_site_fract_z
Be1 Be 0.000 0.000 0.000
Hg1 Hg 0.500 0.500 0.500
Ge1 Ge 0.000 0.000 0.500
Ge2 Ge 0.000 0.500 0.000
Ge3 Ge 0.500 0.000 0.000
```

Summary:
Energy relative to the elements: 2.1 eV per formula unit
E: -3.463 eV/atom
SG: No. 221
Fermi-level density of states: 2.02 states/eV per cell
V: 18.57 Å³/atom
ρ: 7.646 g/cm3